(1)
Li3ZrRu after structural relaxation, computed with PBE.

Structure (CIF):
```
data_Li3ZrRu
_cell_length_a 4.4181
_cell_length_b 4.4181
_cell_length_c 4.4181
_cell_angle_alpha 90.00
_cell_angle_beta 90.00
_cell_angle_gamma 90.00
_space_group_name_H-M_alt 'P m -3 m'
_space_group_IT_number 221
_space_group_name_Hall '-P 4 2 3'
loop_
_atom_site_label
_atom_site_type_symbol
_atom_site_fract_x
_atom_site_fract_y
_atom_site_fract_z
Li1 Li 0.0000 0.0000 0.5000
Zr1 Zr 0.5000 0.5000 0.5000
Ru1 Ru 0.0000 0.0000 0.0000
```

crystal system	cubic
DOS(E_F)	5.4	states/eV/cell
formation enthalpy at 0 K	0.82	eV/atom
uncorrected energy	-0.2863	Ry per atom

(2)
ZrAlHg after structural relaxation, computed with PBE.

Structure (CIF):
```
data_ZrAlHg
_cell_length_a 6.4849
_cell_length_b 6.4849
_cell_length_c 6.4849
_cell_angle_alpha 90.00
_cell_angle_beta 90.00
_cell_angle_gamma 90.00
_space_group_name_H-M_alt 'F -4 3 m'
_space_group_IT_number 216
_space_group_name_Hall 'F -4 2 3'
loop_
_atom_site_label
_atom_site_type_symbol
_atom_site_fract_x
_atom_site_fract_y
_atom_site_fract_z
Zr1 Zr 0.0000 0.0000 0.0000
Al1 Al 0.0000 0.0000 0.5000
Hg1 Hg 0.2500 0.2500 0.2500
```

crystal system	cubic
DOS(E_F)	7.2	states/eV/cell
formation enthalpy at 0 K	0.07	eV/atom
uncorrected energy	-0.3035	Ry per atom

(3)
K2BaCaF after structural relaxation, computed with PBE.

Structure (CIF):
```
data_K2BaCaF
_cell_length_a 6.6873
_cell_length_b 6.6873
_cell_length_c 5.1722
_cell_angle_alpha 90.00
_cell_angle_beta 90.00
_cell_angle_gamma 90.00
_space_group_name_H-M_alt 'P 4/m m m'
_space_group_IT_number 123
_space_group_name_Hall '-P 4 2'
loop_
_atom_site_label
_atom_site_type_symbol
_atom_site_fract_x
_atom_site_fract_y
_atom_site_fract_z
K1 K 0.0000 0.5000 0.0000
Ba1 Ba 0.0000 0.0000 0.5000
Ca1 Ca 0.5000 0.5000 0.5000
F1 F 0.0000 0.0000 0.0000
```

crystal system	tetragonal
DOS(E_F)	3.4	states/eV/cell
uncorrected energy	-0.1870	Ry per atom
formation energy (no corrections)	-0.946	eV/atom

(4)
SrTeBr2 after structural relaxation, computed with PBE.

Structure (CIF):
```
data_SrTeBr2
_cell_length_a 4.7547
_cell_length_b 5.6779
_cell_length_c 5.4746
_cell_angle_alpha 90.00
_cell_angle_beta 110.84
_cell_angle_gamma 90.00
_space_group_name_H-M_alt 'P 1 m 1'
_space_group_IT_number 6
loop_
_space_group_symop_operation_xyz
'x,y,z'
'x,-y,z'
loop_
_atom_site_label
_atom_site_type_symbol
_atom_site_fract_x
_atom_site_fract_y
_atom_site_fract_z
Sr1 Sr 0.0000 0.0000 0.0000
Te1 Te 0.3549 0.5000 0.8324
Br1 Br 0.1686 0.5000 0.3100
Br2 Br 0.6824 0.0000 0.4008
```

crystal system	monoclinic
DOS(E_F)	0.4	states/eV/cell
uncorrected energy	-0.2401	Ry per atom
formation energy (no corrections)	-1.224	eV/atom